[1]
Density functional theory data (PBE) for a relaxed LaIn2Cu crystal.

Geometry as POSCAR:
```
LaIn2Cu
1.0
3.432 0.507 0.000
-0.504 3.433 0.000
0.000 0.000 7.813
In Cu La
2 1 1
Cartesian
0.000 0.000 4.338
0.000 0.000 7.381
1.464 1.970 5.860
1.464 1.970 1.953
```

Values from the calculation:
* formation energy: -210.3 meV per atom
* total DFT energy (no corrections): -15.3 eV for the cell shown
* M_tot: 0.0 μB/cell


[2]
Density functional theory data (PBE) for a relaxed Y3Hg5O12 crystal.

Geometry as POSCAR:
```
Y3Hg5O12
1.0
11.577 0.000 0.000
-3.859 10.915 0.000
-3.859 -5.458 9.453
Hg O Y
20 48 12
Cartesian
-0.965 0.682 5.908
-1.930 5.458 0.000
4.824 4.775 3.545
2.894 8.186 2.363
3.859 5.458 0.000
-3.859 2.729 4.726
0.965 -2.729 7.090
4.824 -3.411 8.271
0.965 3.411 8.271
3.859 -2.729 4.726
2.894 2.047 1.182
6.753 -0.682 5.908
1.930 2.729 4.726
0.000 0.000 0.000
-0.965 8.868 1.182
5.789 0.000 0.000
4.824 2.729 7.090
-2.894 6.140 3.545
-1.930 -2.729 4.726
-0.965 2.729 2.363
1.636 1.356 8.687
8.012 5.472 1.557
5.056 1.660 1.344
-3.300 4.846 5.279
2.662 4.723 3.961
1.370 4.266 6.283
-3.979 8.049 3.382
2.223 6.798 0.791
2.489 1.191 3.170
7.159 0.612 4.173
-1.197 3.797 8.108
-4.153 -0.015 7.896
-2.049 2.591 6.071
2.223 4.102 0.766
-0.294 4.117 0.791
5.229 6.069 5.279
-0.559 0.579 2.110
7.598 1.233 0.553
7.838 -2.591 6.071
6.985 -3.797 8.108
-3.739 4.225 8.900
-2.489 6.037 7.343
4.592 -0.734 5.492
5.909 9.682 0.553
6.348 -0.579 2.110
2.049 -1.633 5.517
3.739 1.633 5.517
0.120 3.824 3.935
-2.049 -4.225 8.900
5.495 5.443 1.557
4.418 4.878 7.343
0.559 6.649 6.283
4.153 1.341 8.662
1.810 7.091 3.935
3.300 -1.191 3.170
1.197 0.734 5.492
8.451 2.395 2.616
-1.197 -3.063 6.836
-1.636 0.015 7.896
4.153 -1.356 8.687
1.636 -1.341 8.662
-1.370 -0.612 4.173
5.056 8.520 2.616
-0.733 6.192 3.961
-0.294 6.813 0.766
-3.126 9.255 1.344
-4.592 3.063 6.836
5.909 2.866 3.382
-2.894 2.047 8.271
6.753 7.504 1.182
8.683 0.000 2.363
2.894 0.000 7.090
0.965 5.458 2.363
-2.894 -2.047 8.271
-4.824 5.458 7.090
4.824 0.682 3.545
0.965 -0.682 3.545
6.753 3.411 1.182
2.894 6.140 5.908
-0.965 4.775 5.908
```

Values from the calculation:
* total DFT energy (no corrections): -418.5 eV for the cell shown
* M_tot: 0.1 μB/cell
* E_form (uncorrected): -1.2114 eV per atom


[3]
Density functional theory data (PBE) for a relaxed SrTaAg crystal.

Geometry as POSCAR:
```
SrTaAg
1.0
3.194 0.000 0.000
-1.597 2.766 0.000
0.000 0.000 7.886
Ag Sr Ta
1 1 1
Cartesian
0.000 0.000 7.702
0.000 1.844 2.638
1.597 0.922 5.431
```

Values from the calculation:
* formation energy: 777.9 meV per atom
* total DFT energy (no corrections): -14.1 eV for the cell shown
* M_tot: 0.0 μB/cell


Calculated DOS at the Fermi energy (states/eV/atom), listed in the same order as above: 0.820 0.425 0.906